The following is a GGA+U calculation of a geometry-optimized MgMnAs2O8 structure, from Alexandria via LeMat-Bulk.

```
data_MgMnAs2O8
_chemical_formula_sum 'Mg2 Mn2 As4 O16'
_cell_length_a 6.678
_cell_length_b 6.678
_cell_length_c 6.298
_cell_angle_alpha 90.00
_cell_angle_beta 90.00
_cell_angle_gamma 90.00
_space_group_name_H-M_alt 'I -4 m 2'
_space_group_IT_number 119
_space_group_name_Hall 'I -4 -2'
loop_
_atom_site_label
_atom_site_fract_x
_atom_site_fract_y
_atom_site_fract_z
Mg1 0.000 0.000 0.000
Mn1 0.000 0.500 0.250
As1 0.000 0.000 0.500
As2 0.000 0.500 0.750
O1 0.000 0.190 0.314
O2 0.000 0.310 0.934
```

Output
DFT total energy in eV/atom: -6.13
Total moment in μB/atom: 0.25